# 1
A plane-wave DFT calculation with PBEsol was carried out for an optimized crystal structure of TaTlMo2.

Cell: 5.685 9.197 2.822 Å, 90.00 110.73 90.00°
Space group C2/m (No. 12)
Asymmetric unit:
1 Ta 0.000 0.000 0.000 x2
2 Tl 0.000 0.500 0.000 x2
3 Mo 0.250 0.250 0.500 x4

Results
ΔE to the lowest computed polymorph (kJ per mole of atoms): 12.0
DOS at the Fermi energy (states/eV/cell): 3.485

# 2
A plane-wave DFT calculation with PBEsol was carried out for an optimized crystal structure of Zr2CrAu.

Cell: 3.269 3.269 6.614 Å, 90.00 90.00 90.00°
Space group P4/mmm (No. 123)
Asymmetric unit:
1 Zr 0.000 0.000 0.228 x2
2 Cr 0.500 0.500 0.000 x1
3 Au 0.500 0.500 0.500 x1

Results
ΔE to the lowest computed polymorph (kJ per mole of atoms): 0.0
DOS at the Fermi energy (states/eV/cell): 3.977

Look up the ΔE to the lowest computed polymorph of the second one. 0.0 kJ per mole of atoms

Among the records above, which one has the highest DOS at the Fermi energy? Zr2CrAu

Look up the ΔE to the lowest computed polymorph of the first one. 12.0 kJ per mole of atoms